Entry 1:
Compound: CeMg
Source: Alexandria
Functional: GGA-PBE
Structure: optimized geometry

Electronic total energy = -0.11485 Ha/atom
Fermi-level density of states = 5.12 states/eV per atom
Space-group type = No. 225
Crystal system = cubic
Formation enthalpy at 0 K = 639 meV per atom

Cell: 4.583 4.583 4.583 Å, 60.00 60.00 60.00°
Each line ends with the local moment (μB).
Fractional coordinates of all 2 atoms:
Ce (0.000, 0.000, 0.000)  1.24
Mg (0.500, 0.500, 0.500)  0.03

Entry 2:
Compound: BaHf3Sc
Source: Alexandria
Functional: GGA-PBE
Structure: optimized geometry

Distance to the lowest polymorph of the same formula = 0 meV per atom
Electronic total energy = -0.23965 Ha/atom
Fermi-level density of states = 2.47 states/eV per atom
Space-group type = No. 221
Crystal system = cubic
Formation enthalpy at 0 K = 1102 meV per atom

Cell: 5.317 5.317 5.317 Å, 90.00 90.00 90.00°
Fractional coordinates of all 5 atoms:
Ba (0.500, 0.500, 0.500)
Hf (0.000, 0.000, 0.500)
Sc (0.000, 0.000, 0.000)
Hf (0.500, 0.000, 0.000)
Hf (0.000, 0.500, 0.000)

Entry 3:
Compound: MgAg2AuCl6
Source: Alexandria
Functional: GGA-PBE
Structure: optimized geometry

Formation energy from raw total energies = -0.738 eV per atom
Electronic total energy = -0.10669 Ha/atom
Fermi-level density of states = 0.31 states/eV per atom
Space-group type = No. 1
Crystal system = triclinic

Cell: 6.378 7.112 7.664 Å, 53.97 66.56 63.10°
Each line ends with the local moment (μB).
Fractional coordinates of all 10 atoms:
Cl (0.217, 0.920, 0.271)  0.09
Cl (0.589, 0.213, 0.276)  0.06
Cl (0.426, 0.738, 0.781)  0.11
Cl (0.065, 0.437, 0.764)  0.06
Ag (0.555, 0.512, 0.409)  0.02
Cl (0.989, 0.539, 0.212)  0.03
Au (0.815, 0.822, 0.530)  0.32
Mg (0.322, 0.335, 0.023)  0.00
Cl (0.643, 0.160, 0.806)  0.01
Ag (0.041, 0.985, 0.945)  0.04

Entry 4:
Compound: PaTl3Sn2Se6
Source: Alexandria
Functional: GGA-PBE
Structure: optimized geometry

Formation energy from raw total energies = -0.756 eV per atom
Electronic total energy = -0.16713 Ha/atom
Space-group type = No. 12
Crystal system = monoclinic

Cell: 7.488 7.488 7.952 Å, 98.96 98.96 119.72°
Fractional coordinates of all 12 atoms:
Se (0.239, 0.239, 0.789)
Tl (0.500, 0.500, 0.500)
Se (0.932, 0.621, 0.795)
Pa (0.000, 0.000, 0.000)
Se (0.761, 0.761, 0.211)
Tl (0.169, 0.831, 0.500)
Sn (0.333, 0.667, 0.000)
Se (0.621, 0.932, 0.795)
Se (0.068, 0.379, 0.205)
Se (0.379, 0.068, 0.205)
Tl (0.831, 0.169, 0.500)
Sn (0.667, 0.333, 0.000)

Entry 5:
Compound: Tb4Pm5Er4
Source: Alexandria
Functional: GGA-PBE
Structure: optimized geometry

Electronic total energy = -0.17046 Ha/atom
Fermi-level density of states = 1.39 states/eV per atom
Space-group type = No. 87
Crystal system = tetragonal
Formation enthalpy at 0 K = 17 meV per atom

Cell: 5.049 9.472 9.472 Å, 85.93 74.54 74.54°
Fractional coordinates of all 13 atoms:
Tb (0.232, 0.613, 0.922)
Pm (0.695, 0.843, 0.767)
Tb (0.845, 0.922, 0.387)
Er (0.386, 0.689, 0.538)
Er (0.614, 0.311, 0.462)
Er (0.076, 0.538, 0.311)
Tb (0.155, 0.078, 0.613)
Pm (0.462, 0.233, 0.843)
Pm (0.538, 0.767, 0.157)
Pm (0.305, 0.157, 0.233)
Pm (0.000, 0.000, 0.000)
Er (0.924, 0.462, 0.689)
Tb (0.768, 0.387, 0.078)

Entry 6:
Compound: PuThPa2
Source: Alexandria
Functional: GGA-PBE
Structure: optimized geometry

Distance to the lowest polymorph of the same formula = 241 meV per atom
Electronic total energy = -0.36196 Ha/atom
Fermi-level density of states = 2.34 states/eV per atom
Space-group type = No. 160
Crystal system = trigonal
Formation enthalpy at 0 K = 337 meV per atom

Cell: 3.597 3.597 9.368 Å, 78.93 78.93 60.00°
Fractional coordinates of all 4 atoms:
Pu (0.504, 0.504, 0.489)
Pa (0.225, 0.225, 0.325)
Th (0.665, 0.665, 0.004)
Pa (0.106, 0.106, 0.682)

Please write out number 1 again, unchanged.
Compound: CeMg
Source: Alexandria
Functional: GGA-PBE
Structure: optimized geometry

Electronic total energy = -0.11485 Ha/atom
Fermi-level density of states = 5.12 states/eV per atom
Space-group type = No. 225
Crystal system = cubic
Formation enthalpy at 0 K = 639 meV per atom

Cell: 4.583 4.583 4.583 Å, 60.00 60.00 60.00°
Each line ends with the local moment (μB).
Fractional coordinates of all 2 atoms:
Ce (0.000, 0.000, 0.000)  1.24
Mg (0.500, 0.500, 0.500)  0.03

Please write out number 5 again, unchanged.
Compound: Tb4Pm5Er4
Source: Alexandria
Functional: GGA-PBE
Structure: optimized geometry

Electronic total energy = -0.17046 Ha/atom
Fermi-level density of states = 1.39 states/eV per atom
Space-group type = No. 87
Crystal system = tetragonal
Formation enthalpy at 0 K = 17 meV per atom

Cell: 5.049 9.472 9.472 Å, 85.93 74.54 74.54°
Fractional coordinates of all 13 atoms:
Tb (0.232, 0.613, 0.922)
Pm (0.695, 0.843, 0.767)
Tb (0.845, 0.922, 0.387)
Er (0.386, 0.689, 0.538)
Er (0.614, 0.311, 0.462)
Er (0.076, 0.538, 0.311)
Tb (0.155, 0.078, 0.613)
Pm (0.462, 0.233, 0.843)
Pm (0.538, 0.767, 0.157)
Pm (0.305, 0.157, 0.233)
Pm (0.000, 0.000, 0.000)
Er (0.924, 0.462, 0.689)
Tb (0.768, 0.387, 0.078)

- Among the records above, which one has the highest electronic total energy?
  MgAg2AuCl6